i:
First-principles (GGA-PBE) data for a relaxed structure of Sc3InB, as listed in Alexandria via LeMat-Bulk.

Cell lengths 5.2585, 5.2585, 5.2585 Å; angles 90.00, 90.00, 90.00 degrees
Last column: nearest neighbours and their distance in Å.
Positions (direct):
Sc1 0.0000 0.0000 0.5000  2 In 2.63
Sc2 0.0000 0.5000 0.0000  2 In 2.63
Sc3 0.5000 0.0000 0.0000  2 In 2.63
In1 0.0000 0.0000 0.0000  6 Sc 2.63
B1 0.5000 0.5000 0.5000  12 Sc 3.72

Output
Crystal system = cubic

=====

ii:
First-principles (GGA-PBE) data for a relaxed structure of Sc3InB, as listed in Alexandria via LeMat-Bulk.

Cell lengths 4.6920, 4.6920, 4.6920 Å; angles 90.00, 90.00, 90.00 degrees
Last column: nearest neighbours and their distance in Å.
Positions (direct):
Sc1 0.0000 0.0000 0.5000  2 B 2.35
Sc2 0.0000 0.5000 0.0000  2 B 2.35
Sc3 0.5000 0.0000 0.0000  2 B 2.35
In1 0.5000 0.5000 0.5000  12 Sc 3.32
B1 0.0000 0.0000 0.0000  6 Sc 2.35

Output
Crystal system = cubic

=====

It is i that is the least stable of them.

=====

i:
First-principles (GGA-PBE) data for a relaxed structure of ScIn3B, as listed in Alexandria via LeMat-Bulk.

Cell lengths 5.5770, 5.5770, 5.5770 Å; angles 90.00, 90.00, 90.00 degrees
Last column: nearest neighbours and their distance in Å.
Positions (direct):
Sc1 0.0000 0.0000 0.0000  6 In 2.79
In1 0.0000 0.0000 0.5000  2 Sc 2.79
In2 0.0000 0.5000 0.0000  2 Sc 2.79
In3 0.5000 0.0000 0.0000  2 Sc 2.79
B1 0.5000 0.5000 0.5000  12 In 3.94

Output
Crystal system = cubic

=====

ii:
First-principles (GGA-PBE) data for a relaxed structure of ScIn3B, as listed in Alexandria via LeMat-Bulk.

Cell lengths 4.8144, 4.8144, 4.8144 Å; angles 90.00, 90.00, 90.00 degrees
Last column: nearest neighbours and their distance in Å.
Positions (direct):
Sc1 0.0000 0.0000 0.0000  12 In 3.40
In1 0.0000 0.5000 0.5000  2 B 2.41
In2 0.5000 0.0000 0.5000  2 B 2.41
In3 0.5000 0.5000 0.0000  2 B 2.41
B1 0.5000 0.5000 0.5000  6 In 2.41

Output
Crystal system = cubic

=====

It is i that is the least stable of them.

=====

i:
First-principles (GGA-PBE) data for a relaxed structure of ScInB3, as listed in Alexandria via LeMat-Bulk.

Cell lengths 4.3904, 4.3904, 4.3904 Å; angles 90.00, 90.00, 90.00 degrees
Last column: nearest neighbours and their distance in Å.
Positions (direct):
Sc1 0.0000 0.0000 0.0000  12 B 3.10
In1 0.5000 0.5000 0.5000  6 B 2.20
B1 0.0000 0.5000 0.5000  2 In 2.20
B2 0.5000 0.0000 0.5000  2 In 2.20
B3 0.5000 0.5000 0.0000  2 In 2.20

Output
Crystal system = cubic

=====

ii:
First-principles (GGA-PBE) data for a relaxed structure of ScInB3, as listed in Alexandria via LeMat-Bulk.

Cell lengths 4.4535, 4.4535, 4.4535 Å; angles 90.00, 90.00, 90.00 degrees
Last column: nearest neighbours and their distance in Å.
Positions (direct):
Sc1 0.0000 0.0000 0.0000  6 B 2.23
In1 0.5000 0.5000 0.5000  12 B 3.15
B1 0.0000 0.0000 0.5000  2 Sc 2.23
B2 0.0000 0.5000 0.0000  2 Sc 2.23
B3 0.5000 0.0000 0.0000  2 Sc 2.23

Output
Crystal system = cubic

=====

It is ii that is the least stable of them.

=====

i:
First-principles (GGA-PBE) data for a relaxed structure of ScIn2B2, as listed in Alexandria via LeMat-Bulk.

Cell lengths 7.3580, 7.3580, 3.0840 Å; angles 90.00, 90.00, 90.00 degrees
Last column: nearest neighbours and their distance in Å.
Positions (direct):
Sc1 0.0000 0.0000 0.0000  4 In 2.87, 2 Sc 3.08, 8 B 3.13
Sc2 0.5000 0.5000 0.0000  4 In 2.87, 2 Sc 3.08, 8 B 3.13
In1 0.1345 0.3655 0.0000  6 B 2.55-2.74, 1 In 2.80
In2 0.3655 0.8655 0.0000  6 B 2.55-2.74, 1 In 2.80
In3 0.6345 0.1345 0.0000  6 B 2.55-2.74, 1 In 2.80
In4 0.8655 0.6345 0.0000  6 B 2.55-2.74, 1 In 2.80
B1 0.1707 0.6707 0.5000  6 In 2.55-2.74
B2 0.3293 0.1707 0.5000  6 In 2.55-2.74
B3 0.6707 0.8293 0.5000  6 In 2.55-2.74
B4 0.8293 0.3293 0.5000  6 In 2.55-2.74

Output
Crystal system = tetragonal

=====

ii:
First-principles (GGA-PBE) data for a relaxed structure of ScIn2B2, as listed in Alexandria via LeMat-Bulk.

Cell lengths 5.4855, 5.4855, 5.4855 Å; angles 133.02, 133.02, 68.63 degrees
Last column: nearest neighbours and their distance in Å.
Positions (direct):
Sc1 0.0000 0.0000 0.0000  8 B 3.15, 10 In 3.16-3.38
In1 0.3493 0.3493 0.0000  4 B 2.36
In2 0.6507 0.6507 0.0000  4 B 2.36
B1 0.2500 0.7500 0.5000  4 In 2.36
B2 0.7500 0.2500 0.5000  4 In 2.36

Output
Crystal system = tetragonal

=====

It is i that is the least stable of them.

=====

i:
First-principles (GGA-PBE) data for a relaxed structure of In3BSe, as listed in Alexandria via LeMat-Bulk.

Cell lengths 4.8483, 4.8483, 4.8483 Å; angles 90.00, 90.00, 90.00 degrees
Last column: nearest neighbours and their distance in Å.
Positions (direct):
In1 0.0000 0.0000 0.5000  2 B 2.42
In2 0.0000 0.5000 0.0000  2 B 2.42
In3 0.5000 0.0000 0.0000  2 B 2.42
B1 0.0000 0.0000 0.0000  6 In 2.42
Se1 0.5000 0.5000 0.5000  12 In 3.43

Output
Crystal system = cubic

=====

ii:
First-principles (GGA-PBE) data for a relaxed structure of In3BSe, as listed in Alexandria via LeMat-Bulk.

Cell lengths 5.6090, 5.6090, 5.6090 Å; angles 90.00, 90.00, 90.00 degrees
Last column: nearest neighbours and their distance in Å.
Positions (direct):
In1 0.0000 0.0000 0.5000  2 Se 2.80
In2 0.0000 0.5000 0.0000  2 Se 2.80
In3 0.5000 0.0000 0.0000  2 Se 2.80
B1 0.5000 0.5000 0.5000  12 In 3.97
Se1 0.0000 0.0000 0.0000  6 In 2.80

Output
Crystal system = cubic

=====

It is ii that is the least stable of them.

=====

i:
First-principles (GGA-PBE) data for a relaxed structure of InSiB2, as listed in Alexandria via LeMat-Bulk.

Cell lengths 4.2136, 4.2136, 4.2136 Å; angles 60.00, 60.00, 60.00 degrees
Last column: nearest neighbours and their distance in Å.
Positions (direct):
In1 0.0000 0.0000 0.0000  8 B 2.58
Si1 0.5000 0.5000 0.5000  8 B 2.58
B1 0.2500 0.2500 0.2500  4 In 2.58, 4 Si 2.58
B2 0.7500 0.7500 0.7500  4 Si 2.58, 4 In 2.58

Output
Crystal system = cubic

=====

ii:
First-principles (GGA-PBE) data for a relaxed structure of InSiB2, as listed in Alexandria via LeMat-Bulk.

Cell lengths 6.0120, 6.0120, 6.0120 Å; angles 128.88, 128.88, 75.20 degrees
Last column: nearest neighbours and their distance in Å.
Positions (direct):
In1 0.0000 0.0000 0.0000  4 B 2.39
In2 0.7500 0.2500 0.5000  4 B 2.39
Si1 0.2500 0.7500 0.5000  4 B 2.01
Si2 0.5000 0.5000 0.0000  4 B 2.01
B1 0.1866 0.6250 0.0616  2 Si 2.01
B2 0.3750 0.4366 0.5616  2 Si 2.01
B3 0.5634 0.1250 0.9384  2 Si 2.01
B4 0.8750 0.8134 0.4384  2 Si 2.01

Output
Crystal system = tetragonal

=====

It is i that is the least stable of them.